(1)
## Sm2LuSn7 (GGA-PBE)

Data for a relaxed structure of Sm2LuSn7.

E_tot in eV per atom: -4.718

a b c (Å): 4.4868 25.7644 4.5518
angles (deg): 90.00 90.00 90.00
Last column: nearest neighbours and their distance in Å.
Space group Cmmm (No. 65)
Asymmetric unit:
Sm1 0.0000 0.1860 0.0000 [4 per cell]  10 Sn 3.26-3.51
Lu1 0.0000 0.0000 0.0000 [2 per cell]  12 Sn 3.20-3.33
Sn1 0.0000 0.0945 0.5000 [4 per cell]  6 Sn 3.20-3.31, 2 Sm 3.27, 2 Lu 3.33
Sn2 0.0000 0.2898 0.5000 [4 per cell]  2 Sn 3.04, 4 Sm 3.26
Sn3 0.0000 0.4064 0.0000 [4 per cell]  6 Sn 3.20-3.32, 2 Sm 3.27, 2 Lu 3.29
Sn4 0.0000 0.5000 0.5000 [2 per cell]  4 Lu 3.20, 8 Sn 3.31-3.32

---

(2)
## SmLuTa (GGA-PBE)

Data for a relaxed structure of SmLuTa.

E_form in kJ/mol of atoms: 129

a b c (Å): 7.0707 7.0707 7.0707
angles (deg): 90.00 90.00 90.00
Last column: nearest neighbours and their distance in Å.
Space group F-43m (No. 216)
Asymmetric unit:
Sm1 0.0000 0.0000 0.0000 [4 per cell]  4 Ta 3.06, 4 Lu 3.06
Lu1 0.2500 0.2500 0.7500 [4 per cell]  4 Sm 3.06
Ta1 0.2500 0.2500 0.2500 [4 per cell]  4 Sm 3.06

---

(3)
## SmLuW (GGA-PBE)

Data for a relaxed structure of SmLuW.

E_form in kJ/mol of atoms: 82
Energy above the most stable polymorph in this dataset in kJ/mol of atoms: 0.0

a b c (Å): 6.8804 6.8804 6.8804
angles (deg): 90.00 90.00 90.00
Last column: nearest neighbours and their distance in Å.
Space group F-43m (No. 216)
Asymmetric unit:
Sm1 0.0000 0.0000 0.0000 [4 per cell]  4 W 2.98
Lu1 0.0000 0.0000 0.5000 [4 per cell]  4 W 2.98
W1 0.2500 0.2500 0.7500 [4 per cell]  4 Sm 2.98, 4 Lu 2.98

---

(4)
## SmLuZr (GGA-PBE)

Data for a relaxed structure of SmLuZr.

E_form in kJ/mol of atoms: 94

a b c (Å): 7.3462 7.3462 7.3462
angles (deg): 90.00 90.00 90.00
Last column: nearest neighbours and their distance in Å.
Space group F-43m (No. 216)
Asymmetric unit:
Sm1 0.0000 0.0000 0.0000 [4 per cell]  4 Lu 3.18, 4 Zr 3.18
Lu1 0.2500 0.2500 0.7500 [4 per cell]  4 Sm 3.18
Zr1 0.2500 0.2500 0.2500 [4 per cell]  4 Sm 3.18

---

(5)
## LuSn2 (GGA-PBE)

Data for a relaxed structure of LuSn2.

E_tot in eV per atom: -4.290

a b c (Å): 8.6527 8.6527 8.6527
angles (deg): 90.00 90.00 90.00
Last column: nearest neighbours and their distance in Å.
Space group Fd-3m (No. 227, origin choice 2)
Asymmetric unit:
Lu1 0.1250 0.1250 0.1250 [8 per cell]  12 Sn 3.59, 4 Lu 3.75
Sn1 0.0000 0.0000 0.5000 [16 per cell]  6 Sn 3.06

---

(6)
## Lu2Sn (GGA-PBE)

Data for a relaxed structure of Lu2Sn.

E_tot in eV per atom: -3.050

a b c (Å): 13.2684 13.2684 13.2684
angles (deg): 90.00 90.00 90.00
Last column: nearest neighbours and their distance in Å.
Space group Fd-3m (No. 227, origin choice 2)
Asymmetric unit:
Lu1 0.0000 0.0000 0.0000 [16 per cell]  2 Sn 2.87
Sn1 0.1250 0.1250 0.1250 [8 per cell]  4 Lu 2.87

---

(7)
## LuSn (GGA-PBE)

Data for a relaxed structure of LuSn.

E_tot in eV per atom: -4.692

a b c (Å): 3.5140 3.5140 4.9179
angles (deg): 90.00 90.00 120.00
Last column: nearest neighbours and their distance in Å.
Space group P-6m2 (No. 187)
Asymmetric unit:
Lu1 0.0000 0.0000 0.0000 [1 per cell]  6 Sn 3.19, 6 Lu 3.51
Sn1 0.6667 0.3333 0.5000 [1 per cell]  6 Lu 3.19, 6 Sn 3.51

---

(8)
## Lu3Sn7 (GGA-PBE)

Data for a relaxed structure of Lu3Sn7.

E_tot in eV per atom: -4.580

a b c (Å): 4.4528 25.4626 4.4928
angles (deg): 90.00 90.00 90.00
Last column: nearest neighbours and their distance in Å.
Space group Cmmm (No. 65)
Asymmetric unit:
Lu1 0.0000 0.0000 0.0000 [2 per cell]  12 Sn 3.16-3.35
Lu2 0.0000 0.1882 0.0000 [4 per cell]  10 Sn 3.21-3.45
Sn1 0.0000 0.0974 0.5000 [4 per cell]  6 Sn 3.16-3.33, 4 Lu 3.23-3.35
Sn2 0.0000 0.2909 0.5000 [4 per cell]  2 Sn 3.05, 4 Lu 3.21
Sn3 0.0000 0.4035 0.0000 [4 per cell]  6 Sn 3.16-3.33, 4 Lu 3.23-3.32
Sn4 0.0000 0.5000 0.5000 [2 per cell]  4 Lu 3.16, 8 Sn 3.33

---

(9)
## LuSn (GGA-PBE)

Data for a relaxed structure of LuSn.

E_tot in eV per atom: -3.902

a b c (Å): 6.8823 6.8823 6.8823
angles (deg): 90.00 90.00 90.00
Last column: nearest neighbours and their distance in Å.
Space group F-43m (No. 216)
Asymmetric unit:
Lu1 0.0000 0.0000 0.0000 [4 per cell]  4 Sn 2.98
Sn1 0.2500 0.2500 0.7500 [4 per cell]  4 Lu 2.98

---

(10)
## Lu2Sn (GGA-PBE)

Data for a relaxed structure of Lu2Sn.

E_tot in eV per atom: -4.829

a b c (Å): 5.2651 5.2651 6.4606
angles (deg): 90.00 90.00 120.00
Last column: nearest neighbours and their distance in Å.
Space group P6_3/mmc (No. 194)
Asymmetric unit:
Lu1 0.0000 0.0000 0.0000 [2 per cell]  8 Lu 3.23-3.44, 6 Sn 3.44
Lu2 0.3333 0.6667 0.2500 [2 per cell]  5 Sn 3.04-3.23
Sn1 0.3333 0.6667 0.7500 [2 per cell]  5 Lu 3.04-3.23

---

(11)
## Lu2Sn (GGA-PBE)

Data for a relaxed structure of Lu2Sn.

E_tot in eV per atom: -4.314

a b c (Å): 8.7378 8.7378 8.7378
angles (deg): 90.00 90.00 90.00
Last column: nearest neighbours and their distance in Å.
Space group Fd-3m (No. 227, origin choice 2)
Asymmetric unit:
Lu1 0.0000 0.0000 0.0000 [16 per cell]  6 Lu 3.09
Sn1 0.1250 0.1250 0.6250 [8 per cell]  12 Lu 3.62, 4 Sn 3.78

---

(12)
## SrLuSn (GGA-PBE)

Data for a relaxed structure of SrLuSn.

E_tot in eV per atom: -3.716

a b c (Å): 7.5002 7.5002 7.5002
angles (deg): 90.00 90.00 90.00
Last column: nearest neighbours and their distance in Å.
Space group F-43m (No. 216)
Asymmetric unit:
Sr1 0.0000 0.0000 0.0000 [4 per cell]  4 Sn 3.25
Lu1 0.0000 0.0000 0.5000 [4 per cell]  4 Sn 3.25
Sn1 0.2500 0.2500 0.7500 [4 per cell]  4 Sr 3.25, 4 Lu 3.25